(1)
GGA-PBE ZnCuAs2Se, relaxed; ΔE_f (raw) = 0.88 eV per atom; M_tot = 0.00 μB per cell; polymorph energy (0 for the lowest one) = 263 meV per atom; Fermi-level density of states = 4.59 states/eV/cell
1.0
4.776 0.000 0.000
0.000 4.776 0.000
0.000 0.000 5.005
Zn Cu As Se
1 1 2 1
Direct
0.000 0.000 0.000
0.500 0.500 0.500
0.000 0.500 0.000
0.500 0.000 0.000
0.000 0.000 0.500


(2)
GGA-PBE ZnCuAs2Se, relaxed; ΔE_f (raw) = 0.62 eV per atom; M_tot = 0.00 μB per cell; polymorph energy (0 for the lowest one) = 0 meV per atom; Fermi-level density of states = 4.24 states/eV/cell
1.0
4.682 0.000 0.000
0.000 4.682 0.000
0.000 0.000 4.933
Zn Cu As Se
1 1 2 1
Direct
0.000 0.000 0.000
0.500 0.500 0.500
0.000 0.500 0.500
0.500 0.000 0.500
0.500 0.500 0.000


(3)
GGA-PBE ZrCuAsSe2, relaxed; ΔE_f (raw) = 0.17 eV per atom; M_tot = 0.00 μB per cell; polymorph energy (0 for the lowest one) = 0 meV per atom; Fermi-level density of states = 3.72 states/eV/cell
1.0
4.705 0.000 0.000
0.000 4.705 0.000
0.000 0.000 4.721
Zr Cu As Se
1 1 1 2
Direct
0.000 0.000 0.000
0.500 0.500 0.500
0.500 0.500 0.000
0.000 0.500 0.500
0.500 0.000 0.500


(4)
GGA-PBE ZrCuAs2Se, relaxed; ΔE_f (raw) = 0.41 eV per atom; M_tot = 0.00 μB per cell; polymorph energy (0 for the lowest one) = 147 meV per atom; Fermi-level density of states = 4.97 states/eV/cell
1.0
5.204 0.000 0.000
0.000 5.204 0.000
0.000 0.000 5.153
Zr Cu As Se
1 1 2 1
Direct
0.000 0.000 0.000
0.500 0.500 0.500
0.000 0.500 0.000
0.500 0.000 0.000
0.000 0.000 0.500


(5)
GGA-PBE ZrCuAs2Se, relaxed; ΔE_f (raw) = 0.26 eV per atom; M_tot = 0.00 μB per cell; polymorph energy (0 for the lowest one) = 0 meV per atom; Fermi-level density of states = 3.59 states/eV/cell
1.0
4.630 0.000 0.000
0.000 4.630 0.000
0.000 0.000 4.819
Zr Cu As Se
1 1 2 1
Direct
0.000 0.000 0.000
0.500 0.500 0.500
0.000 0.500 0.500
0.500 0.000 0.500
0.500 0.500 0.000


(6)
GGA-PBE ZrCuAsSe2, relaxed; ΔE_f (raw) = 0.20 eV per atom; M_tot = 0.00 μB per cell; polymorph energy (0 for the lowest one) = 25 meV per atom; Fermi-level density of states = 5.87 states/eV/cell
1.0
5.183 0.000 0.000
0.000 5.183 0.000
0.000 0.000 5.238
Zr Cu As Se
1 1 1 2
Direct
0.000 0.000 0.000
0.500 0.500 0.500
0.000 0.000 0.500
0.000 0.500 0.000
0.500 0.000 0.000